(1)
# Sm2Zn5AgPd2 (PBE-GGA, relaxed)
data_Sm2Zn5AgPd2
_chemical_formula_sum 'Sm4 Zn10 Ag2 Pd4'
_cell_length_a 9.7683
_cell_length_b 9.7683
_cell_length_c 4.0113
_cell_angle_alpha 90.00
_cell_angle_beta 90.00
_cell_angle_gamma 90.00
_space_group_name_H-M_alt 'P 4/m b m'
_space_group_IT_number 127
_space_group_name_Hall '-P 4 2ab'
loop_
_atom_site_label
_atom_site_fract_x
_atom_site_fract_y
_atom_site_fract_z
Sm1 0.1824 0.3176 0.0000
Zn1 0.0000 0.5000 0.5000
Zn2 0.0523 0.7998 0.5000
Ag1 0.0000 0.0000 0.0000
Pd1 0.1154 0.6154 0.0000
# Energy of formation   -4.013 eV/f.u.
# Total energy   -33.1 eV/f.u.

(2)
# Rb2NiP2 (PBE-GGA, relaxed)
data_Rb2NiP2
_chemical_formula_sum 'Rb8 Ni4 P8'
_cell_length_a 6.7099
_cell_length_b 14.2626
_cell_length_c 5.7867
_cell_angle_alpha 90.00
_cell_angle_beta 90.00
_cell_angle_gamma 90.00
_space_group_name_H-M_alt 'C m c m'
_space_group_IT_number 63
_space_group_name_Hall '-C 2c 2'
loop_
_atom_site_label
_atom_site_fract_x
_atom_site_fract_y
_atom_site_fract_z
Rb1 0.0000 0.0845 0.2500
Rb2 0.0000 0.2866 0.7500
Ni1 0.0000 0.5000 0.0000
P1 0.1627 0.4054 0.2500
# Energy of formation   -2.203 eV/f.u.
# Total energy   -20.7 eV/f.u.

(3)
# Ac2Pr3Dy4 (PBE-GGA, relaxed)
data_Ac2Pr3Dy4
_chemical_formula_sum 'Ac4 Pr6 Dy8'
_cell_length_a 15.7265
_cell_length_b 5.2619
_cell_length_c 8.2161
_cell_angle_alpha 90.00
_cell_angle_beta 108.36
_cell_angle_gamma 90.00
_space_group_name_H-M_alt 'C 1 2/m 1'
_space_group_IT_number 12
loop_
_space_group_symop_operation_xyz
'x,y,z'
'-x,-y,-z'
'-x,y,-z'
'x,-y,z'
'x+1/2,y+1/2,z'
'-x+1/2,-y+1/2,-z'
'-x+1/2,y+1/2,-z'
'x+1/2,-y+1/2,z'
loop_
_atom_site_label
_atom_site_fract_x
_atom_site_fract_y
_atom_site_fract_z
Ac1 0.1637 0.0000 0.0015
Pr1 0.0000 0.5000 0.0000
Pr2 0.1101 0.5000 0.6587
Dy1 0.0582 0.0000 0.3425
Dy2 0.2225 0.5000 0.3430
# Energy above the most stable polymorph in this dataset   0 meV/atom
# Energy of formation   0.361 eV/f.u.
# Total energy   -40.6 eV/f.u.

(4)
# PmHfZn17 (PBE-GGA, relaxed)
data_PmHfZn17
_chemical_formula_sum 'Pm3 Hf3 Zn51'
_cell_length_a 8.9134
_cell_length_b 8.9134
_cell_length_c 13.0929
_cell_angle_alpha 90.00
_cell_angle_beta 90.00
_cell_angle_gamma 120.00
_space_group_name_H-M_alt 'R 3 m'
_space_group_IT_number 160
_space_group_name_Hall 'R 3 -2"'
loop_
_atom_site_label
_atom_site_fract_x
_atom_site_fract_y
_atom_site_fract_z
Pm1 0.0000 0.0000 0.0000
Hf1 0.0000 0.0000 0.6657
Zn1 0.0000 0.0000 0.2414
Zn2 0.0000 0.0000 0.4409
Zn3 0.0044 0.3013 0.3350
Zn4 0.0043 0.5022 0.1863
Zn5 0.0114 0.5057 0.8324
Zn6 0.0267 0.5134 0.4865
# Energy of formation   -3.007 eV/f.u.
# Total energy   -39.4 eV/f.u.

(5)
# BiW (PBE-GGA, relaxed)
data_BiW
_chemical_formula_sum 'Bi4 W4'
_cell_length_a 5.8082
_cell_length_b 5.8082
_cell_length_c 5.8082
_cell_angle_alpha 90.00
_cell_angle_beta 90.00
_cell_angle_gamma 90.00
_space_group_name_H-M_alt 'F m -3 m'
_space_group_IT_number 225
_space_group_name_Hall '-F 4 2 3'
loop_
_atom_site_label
_atom_site_fract_x
_atom_site_fract_y
_atom_site_fract_z
Bi1 0.0000 0.0000 0.0000
W1 0.0000 0.0000 0.5000
# Energy above the most stable polymorph in this dataset   1223 meV/atom
# Energy of formation   3.480 eV/f.u.
# Total energy   -13.4 eV/f.u.

(6)
# FeGe3B (PBE-GGA, relaxed)
data_FeGe3B
_chemical_formula_sum 'Fe1 Ge3 B1'
_cell_length_a 4.4857
_cell_length_b 4.4857
_cell_length_c 4.4857
_cell_angle_alpha 90.00
_cell_angle_beta 90.00
_cell_angle_gamma 90.00
_space_group_name_H-M_alt 'P m -3 m'
_space_group_IT_number 221
_space_group_name_Hall '-P 4 2 3'
loop_
_atom_site_label
_atom_site_fract_x
_atom_site_fract_y
_atom_site_fract_z
Fe1 0.0000 0.0000 0.0000
Ge1 0.0000 0.0000 0.5000
B1 0.5000 0.5000 0.5000
# Energy of formation   4.830 eV/f.u.
# Total energy   -24.2 eV/f.u.

- Look up the energy of formation of the sixth one.
  4.830 eV/f.u.

- Among the records above, which one has the lowest total energy?
  Ac2Pr3Dy4

- Look up the energy of formation of the second one.
  -2.203 eV/f.u.